{
  "formula": "SmMg2Ga2Au2",
  "functional": "PBE",
  "state": "optimized geometry",
  "delta_e_f_ev_per_atom": -0.568,
  "cell": [[-3.250, 0.962, 2.932], [-4.291, -0.641, -1.121], [-2.127, -7.737, 3.606]],
  "species": ["Sm", "Mg", "Mg", "Ga", "Ga", "Au", "Au"],
  "frac_coords": [[0.000, 0.000, 0.000], [0.134, 0.134, 0.597], [0.866, 0.866, 0.403], [0.595, 0.595, 0.215], [0.405, 0.405, 0.785], [0.753, 0.753, 0.741], [0.247, 0.247, 0.259]]
}

{
  "formula": "SmMgGa2Au5",
  "functional": "PBE",
  "state": "optimized geometry",
  "delta_e_f_ev_per_atom": -0.383,
  "cell": [[4.830, 0.000, 0.000], [0.000, 4.830, 0.000], [0.000, 0.000, 7.999]],
  "species": ["Sm", "Mg", "Ga", "Ga", "Au", "Au", "Au", "Au", "Au"],
  "frac_coords": [[0.000, 0.000, 0.500], [0.000, 0.000, 0.000], [0.500, 0.500, 0.153], [0.500, 0.500, 0.847], [0.000, 0.500, 0.260], [0.500, 0.000, 0.260], [0.000, 0.500, 0.740], [0.500, 0.000, 0.740], [0.500, 0.500, 0.500]]
}

{
  "formula": "Mg2GaSnAu4",
  "functional": "PBE",
  "state": "optimized geometry",
  "delta_e_f_ev_per_atom": -0.356,
  "cell": [[4.719, 0.000, 0.000], [2.360, 4.087, 0.000], [2.360, 1.362, 7.822]],
  "species": ["Mg", "Mg", "Ga", "Sn", "Au", "Au", "Au", "Au"],
  "frac_coords": [[0.750, 0.750, 0.750], [0.250, 0.250, 0.250], [0.500, 0.500, 0.500], [0.000, 0.000, 0.000], [0.383, 0.383, 0.852], [0.870, 0.870, 0.391], [0.130, 0.130, 0.609], [0.617, 0.617, 0.148]]
}

{
  "formula": "Sr3Mg2Ga2Au4",
  "functional": "PBE",
  "state": "optimized geometry",
  "delta_e_f_ev_per_atom": -0.607,
  "cell": [[4.548, 0.000, 0.000], [-2.274, 3.939, 0.000], [0.000, 0.000, 16.180]],
  "species": ["Sr", "Sr", "Sr", "Mg", "Mg", "Ga", "Ga", "Au", "Au", "Au", "Au"],
  "frac_coords": [[0.000, 0.000, 0.733], [0.000, 0.000, 0.000], [0.000, 0.000, 0.267], [0.667, 0.333, 0.440], [0.333, 0.667, 0.560], [0.667, 0.333, 0.866], [0.333, 0.667, 0.134], [0.667, 0.333, 0.132], [0.333, 0.667, 0.868], [0.667, 0.333, 0.612], [0.333, 0.667, 0.388]]
}

{
  "formula": "SrMgGa2Au",
  "functional": "PBE",
  "state": "optimized geometry",
  "delta_e_f_ev_per_atom": -0.531,
  "cell": [[4.344, 0.000, 0.000], [0.000, 4.480, 0.000], [-2.172, -2.240, 5.845]],
  "species": ["Sr", "Mg", "Ga", "Ga", "Au"],
  "frac_coords": [[0.443, 0.443, 0.886], [0.192, 0.692, 0.384], [0.691, 0.191, 0.383], [0.055, 0.055, 0.110], [0.831, 0.831, 0.662]]
}

{
  "formula": "SrMgGa2Au4",
  "functional": "PBE",
  "state": "optimized geometry",
  "delta_e_f_ev_per_atom": -0.480,
  "cell": [[4.610, 0.000, 0.000], [2.305, 3.992, 0.000], [2.305, 1.331, 9.027]],
  "species": ["Sr", "Mg", "Ga", "Ga", "Au", "Au", "Au", "Au"],
  "frac_coords": [[0.000, 0.000, 0.000], [0.500, 0.500, 0.500], [0.757, 0.757, 0.730], [0.243, 0.243, 0.270], [0.401, 0.401, 0.798], [0.865, 0.865, 0.404], [0.135, 0.135, 0.596], [0.599, 0.599, 0.202]]
}